Entry 1:
A relaxed structure of Cr8Re7. Source: Alexandria via LeMat-Bulk, functional PBE-GGA. Values from VASP.

The structure in Quantum ESPRESSO input format:
```
&SYSTEM
  ibrav = 0, nat = 30, ntyp = 2
/
ATOMIC_SPECIES
Cr 52.00 Cr.upf
Re 186.21 Re.upf
ATOMIC_POSITIONS angstrom
Cr -6.8493 6.8603 -4.5050
Re -3.1137 4.3053 -3.8237
Cr -2.6841 3.2133 0.6001
Re -8.2247 5.5376 -6.1792
Cr -4.0466 -0.6478 -1.0465
Re -7.7355 4.2715 -3.6153
Cr -1.5614 -0.1097 -1.9070
Re -5.4479 3.1062 -2.7758
Cr -1.5058 4.3349 -1.8595
Cr -6.3136 4.0513 -7.7316
Cr -0.7651 2.1468 -0.9446
Re -5.1605 6.6099 -0.5073
Cr -5.3840 0.6416 -2.6863
Cr -6.8105 1.8907 -4.4348
Cr -5.5119 5.5709 -2.8652
Re 0.0000 0.0000 0.0000
Cr -8.2117 2.9992 -6.1516
Re -2.6712 0.6749 0.6277
Cr -3.9466 6.4720 -4.8511
Cr -4.0853 4.3218 -1.1168
Re -7.6307 -0.3903 -3.4927
Cr -5.5729 1.8632 -6.8167
Cr -5.5173 6.3078 -6.7692
Re -3.9650 1.8928 -4.8525
Re -3.1604 1.9410 -1.9363
Cr -3.1321 -0.2739 -3.8250
Re -5.0822 1.9482 -0.3631
Re -5.8137 4.2643 -5.1884
Re -5.7353 -0.3974 -5.0442
Re -3.2651 6.6028 -2.0588
CELL_PARAMETERS angstrom
-1.5637 8.6978 -1.9504
-5.5150 -2.4997 -6.7258
-3.8172 0.0144 3.1246
```

* calculated total energy: -10.862 eV/atom
* total moment: 0.0 Bohr magnetons per cell
* volume: 13.467 Å³ per atom
* E above lowest polymorph: 58 meV/atom

---

Entry 2:
A relaxed structure of Er5Tm8Th. Source: Alexandria via LeMat-Bulk, functional PBE-GGA. Values from VASP.

The structure in Quantum ESPRESSO input format:
```
&SYSTEM
  ibrav = 0, nat = 14, ntyp = 3
/
ATOMIC_SPECIES
Tm 168.93 Tm.upf
Er 167.26 Er.upf
Th 232.04 Th.upf
ATOMIC_POSITIONS angstrom
Tm -0.0089 0.8981 6.8541
Tm 1.7053 -1.8567 5.1297
Tm -3.6464 3.1020 1.9550
Tm -2.6313 -0.5114 3.5934
Tm -1.0424 -3.8074 3.9280
Er 3.1654 5.8387 3.0826
Th 2.1061 1.8387 4.5594
Er -0.8904 4.7071 1.1833
Tm -0.3021 1.8987 2.3639
Er 0.3282 -1.2934 2.0429
Tm 0.0775 4.9950 4.3054
Er -2.2858 2.6257 5.0638
Tm -3.1415 6.7396 1.8377
Er -5.7027 -1.4421 4.7944
CELL_PARAMETERS angstrom
-7.3500 3.8941 -0.4437
-0.4666 -6.5496 5.1252
5.5692 5.5200 2.8103
```

* calculated total energy: -4.423 eV/atom
* total moment: 1.1 Bohr magnetons per cell
* volume: 31.746 Å³ per atom

---

Entry 3:
A relaxed structure of Mg5Pt4. Source: Alexandria via LeMat-Bulk, functional PBE-GGA. Values from VASP.

The structure in Quantum ESPRESSO input format:
```
&SYSTEM
  ibrav = 0, nat = 9, ntyp = 2
/
ATOMIC_SPECIES
Pt 195.08 Pt.upf
Mg 24.30 Mg.upf
ATOMIC_POSITIONS angstrom
Pt -5.1998 -1.2246 -1.9522
Mg 0.5407 -0.0646 2.9019
Pt -2.5462 -0.5996 -0.9560
Pt 0.0664 -2.4348 1.3504
Mg -2.2294 1.8812 0.4565
Mg -2.1590 -0.7004 1.8883
Pt 0.1356 -4.9724 2.7578
Mg 0.0000 0.0000 0.0000
Mg -2.4573 -3.0070 0.3909
CELL_PARAMETERS angstrom
3.1297 -1.8832 5.1874
-4.8184 3.6998 -1.8290
-2.9276 -5.5240 -1.0792
```

* calculated total energy: -4.172 eV/atom
* total moment: 0.0 Bohr magnetons per cell
* volume: 16.650 Å³ per atom
* E above lowest polymorph: 94 meV/atom

---

Entry 4:
A relaxed structure of PrSm3Zn. Source: Alexandria via LeMat-Bulk, functional PBE-GGA. Values from VASP.

The structure in Quantum ESPRESSO input format:
```
&SYSTEM
  ibrav = 0, nat = 10, ntyp = 3
/
ATOMIC_SPECIES
Sm 150.36 Sm.upf
Zn 65.41 Zn.upf
Pr 140.91 Pr.upf
ATOMIC_POSITIONS angstrom
Sm 2.3276 0.4551 2.5131
Sm 0.0007 1.5643 0.0041
Sm 4.0087 3.8826 12.0136
Sm 1.6818 4.9918 9.5047
Sm 0.5821 3.7984 3.2897
Zn 2.0023 3.6320 0.6752
Pr 1.0511 1.0428 5.9401
Sm 3.4273 1.6484 8.7281
Zn 2.0071 1.8148 11.3426
Pr 2.9583 4.4040 6.0777
CELL_PARAMETERS angstrom
3.6514 0.0000 -0.6461
-0.2158 6.2339 -1.2197
0.5738 -0.7871 13.8836
```

* calculated total energy: -4.073 eV/atom
* total moment: 0.0 Bohr magnetons per cell
* volume: 31.472 Å³ per atom
* E above lowest polymorph: 0 meV/atom

---

Entry 5:
A relaxed structure of Y3Tl4SnTe8. Source: Alexandria via LeMat-Bulk, functional PBE-GGA. Values from VASP.

The structure in Quantum ESPRESSO input format:
```
&SYSTEM
  ibrav = 0, nat = 16, ntyp = 4
/
ATOMIC_SPECIES
Y 88.91 Y.upf
Te 127.60 Te.upf
Tl 204.38 Tl.upf
Sn 118.71 Sn.upf
ATOMIC_POSITIONS angstrom
Y 4.4878 4.7687 0.1948
Y 2.2439 2.5271 3.3698
Te 2.2221 2.4424 6.4665
Tl 2.2439 -2.2417 3.1750
Te 4.4878 4.6880 3.3097
Y -2.2439 2.5271 3.3698
Te 2.2657 2.6117 0.2731
Tl 4.4878 0.0000 0.0000
Sn 0.0000 4.7687 0.1948
Tl 0.0000 0.0000 0.0000
Te -2.2221 2.4424 6.4665
Te 6.7099 2.6117 0.2731
Tl -2.2439 -2.2417 3.1750
Te 0.0000 0.3661 3.4299
Te 4.4878 0.3918 3.4172
Te 0.0000 4.6623 3.3224
CELL_PARAMETERS angstrom
8.9757 0.0000 0.0000
0.0000 9.5375 0.3896
-4.4878 -4.4834 6.3500
```

* calculated total energy: -4.483 eV/atom
* total moment: 0.0 Bohr magnetons per cell
* volume: 34.954 Å³ per atom
* formation energy (no corrections): -0.858 eV/atom

---

Entry 6:
A relaxed structure of MnReGe. Source: Alexandria via LeMat-Bulk, functional PBE-GGA. Values from VASP.

The structure in Quantum ESPRESSO input format:
```
&SYSTEM
  ibrav = 0, nat = 3, ntyp = 3
/
ATOMIC_SPECIES
Ge 72.64 Ge.upf
Mn 54.94 Mn.upf
Re 186.21 Re.upf
ATOMIC_POSITIONS angstrom
Ge -0.4742 -1.6654 4.5562
Mn -0.2371 -0.8327 2.2781
Re 0.0000 0.0000 0.0000
CELL_PARAMETERS angstrom
-2.5868 -1.2901 2.7354
1.0542 -2.8839 2.5318
0.5842 0.8433 3.8452
```

* calculated total energy: -8.725 eV/atom
* total moment: 0.0 Bohr magnetons per cell
* volume: 14.857 Å³ per atom
* E above lowest polymorph: 0 meV/atom

---

Entry 7:
A relaxed structure of Sm2CdSb. Source: Alexandria via LeMat-Bulk, functional PBE-GGA. Values from VASP.

The structure in Quantum ESPRESSO input format:
```
&SYSTEM
  ibrav = 0, nat = 4, ntyp = 3
/
ATOMIC_SPECIES
Cd 112.41 Cd.upf
Sm 150.36 Sm.upf
Sb 121.76 Sb.upf
ATOMIC_POSITIONS angstrom
Cd 5.3958 3.1153 2.2028
Sm 8.0937 4.6729 3.3042
Sb 0.0000 0.0000 0.0000
Sm 2.6979 1.5576 1.1014
CELL_PARAMETERS angstrom
5.3958 0.0000 0.0000
2.6979 4.6729 0.0000
2.6979 1.5576 4.4056
```

* calculated total energy: -4.186 eV/atom
* total moment: 0.0 Bohr magnetons per cell
* volume: 27.771 Å³ per atom
* formation energy (no corrections): -0.567 eV/atom
* E above lowest polymorph: 87 meV/atom

---

Entry 8:
A relaxed structure of CoSbPb4. Source: Alexandria via LeMat-Bulk, functional PBE-GGA. Values from VASP.

The structure in Quantum ESPRESSO input format:
```
&SYSTEM
  ibrav = 0, nat = 6, ntyp = 3
/
ATOMIC_SPECIES
Pb 207.20 Pb.upf
Co 58.93 Co.upf
Sb 121.76 Sb.upf
ATOMIC_POSITIONS angstrom
Pb -2.7685 2.1928 7.9022
Pb -2.4086 -0.9698 8.2569
Pb -1.1664 0.5066 5.7005
Co 0.0000 0.0000 0.0000
Pb 0.1113 0.9771 8.5995
Sb -2.3371 1.0150 11.4221
CELL_PARAMETERS angstrom
2.5413 0.9359 5.7659
-3.1866 3.3540 4.3791
-2.4708 -2.9365 5.0845
```

* calculated total energy: -3.598 eV/atom
* total moment: 1.9 Bohr magnetons per cell
* volume: 30.465 Å³ per atom
* formation energy (no corrections): 0.746 eV/atom

---

Entry 9:
A relaxed structure of RbNaS14. Source: Alexandria via LeMat-Bulk, functional PBE-GGA. Values from VASP.

The structure in Quantum ESPRESSO input format:
```
&SYSTEM
  ibrav = 0, nat = 32, ntyp = 3
/
ATOMIC_SPECIES
S 32.06 S.upf
Na 22.99 Na.upf
Rb 85.47 Rb.upf
ATOMIC_POSITIONS angstrom
S 3.6647 2.3136 2.3550
S 0.0000 2.9927 6.0283
S 1.9795 3.5263 -2.0171
S 2.0228 10.6649 -1.8070
S 0.0000 6.6457 2.3550
S 1.6852 5.4330 9.5269
S 3.6647 7.0764 -2.7802
S 1.6418 -1.7056 9.3168
S 1.6418 1.7056 5.7028
Na -1.8323 4.4796 3.7549
S 3.6647 2.3136 5.1548
S 5.3498 3.5263 -2.0171
S 3.6647 5.9665 6.0283
S 2.0228 7.2537 5.7028
S -1.6852 5.4330 9.5269
S 5.6875 1.7056 1.8070
S 1.9795 3.5263 9.5268
S 1.6852 5.4330 -2.0171
Rb 3.6647 -0.9414 3.7549
Na 1.8323 4.4796 3.7549
S -2.0228 7.2537 5.7028
Rb 0.0000 9.9007 3.7549
S 0.0000 6.6457 5.1548
S 3.6647 7.0764 -4.7295
S 1.9795 -3.5263 5.4927
S 1.6418 1.7056 1.8070
S 1.6852 12.4856 2.0171
S 3.6647 5.9665 1.4814
S 0.0000 1.8829 10.2900
S 0.0000 1.8829 12.2393
S 2.0228 7.2537 1.8070
S 0.0000 2.9927 1.4814
CELL_PARAMETERS angstrom
-3.6647 8.9593 7.5098
3.6647 -8.9593 7.5098
3.6647 8.9593 -7.5098
```

* calculated total energy: -3.711 eV/atom
* total moment: 0.0 Bohr magnetons per cell
* volume: 30.821 Å³ per atom
* formation energy (no corrections): 0.043 eV/atom

---

Entry 10:
A relaxed structure of ScHgAs3. Source: Alexandria via LeMat-Bulk, functional PBE-GGA. Values from VASP.

The structure in Quantum ESPRESSO input format:
```
&SYSTEM
  ibrav = 0, nat = 5, ntyp = 3
/
ATOMIC_SPECIES
Hg 200.59 Hg.upf
Sc 44.96 Sc.upf
As 74.92 As.upf
ATOMIC_POSITIONS angstrom
Hg -3.7876 -2.1086 -0.9617
Sc 0.0000 0.0000 0.0000
As -0.2446 -2.5319 -0.3196
As -1.4281 0.4019 -2.0908
As -2.1150 0.0214 1.4487
CELL_PARAMETERS angstrom
-2.8561 0.8037 -4.1817
-0.4891 -5.0638 -0.6392
-4.2300 0.0429 2.8974
```

* calculated total energy: -3.901 eV/atom
* total moment: 0.0 Bohr magnetons per cell
* volume: 26.959 Å³ per atom
* E above lowest polymorph: 0 meV/atom

---

Entry 11:
A relaxed structure of CaReW2. Source: Alexandria via LeMat-Bulk, functional PBE-GGA. Values from VASP.

The structure in Quantum ESPRESSO input format:
```
&SYSTEM
  ibrav = 0, nat = 4, ntyp = 3
/
ATOMIC_SPECIES
Re 186.21 Re.upf
W 183.84 W.upf
Ca 40.08 Ca.upf
ATOMIC_POSITIONS angstrom
Re -5.1529 2.5232 5.0517
W -1.0977 0.2871 2.4479
Ca -3.7204 2.0515 2.3888
W -7.3379 4.0463 4.7115
CELL_PARAMETERS angstrom
-0.6994 -2.4897 1.0490
1.7991 1.2469 1.7311
-7.3635 4.0604 4.7279
```

* calculated total energy: -9.583 eV/atom
* total moment: 0.0 Bohr magnetons per cell
* volume: 17.751 Å³ per atom
* E above lowest polymorph: 0 meV/atom